[1]
First-principles (GGA-PBE) data for NdTiCuPt2 after structural relaxation, as listed in Alexandria.

Cell: 3.9527 3.9527 6.7588 Å, 107.00 107.00 90.00°
Last column: nearest neighbours and their distance in Å.
Fractional positions:
Cu1 0.7500 0.2500 0.5000  4 Pt 2.61, 4 Ti 2.80
Nd1 0.0000 0.0000 0.0000  8 Pt 3.11
Pt1 0.3888 0.3888 0.7775  2 Cu 2.61, 2 Ti 2.61, 1 Pt 2.74
Ti1 0.2500 0.7500 0.5000  4 Pt 2.61, 4 Cu 2.80
Pt2 0.6112 0.6112 0.2225  2 Cu 2.61, 2 Ti 2.61, 1 Pt 2.74

crystal system = tetragonal
calculated formation energy = -756 meV/atom

[2]
First-principles (GGA-PBE) data for Nd4OsI2Cl after structural relaxation, as listed in Alexandria.

Cell: 4.1934 7.6072 8.3163 Å, 107.30 90.00 90.00°
Last column: nearest neighbours and their distance in Å.
Fractional positions:
I1 0.5000 0.0000 0.5000  6 Nd 3.56-3.64
Cl1 0.0000 0.0000 0.0000  6 Nd 2.96-3.14
Os1 0.5000 0.5000 0.0000  6 Nd 2.80
Nd1 0.5000 0.7478 0.8100  1 Os 2.80, 2 Cl 2.96
Nd2 0.0000 0.7010 0.1916  2 Os 2.80
Nd3 0.0000 0.2990 0.8084  2 Os 2.80
I2 0.0000 0.5000 0.5000  6 Nd 3.35-3.42
Nd4 0.5000 0.2522 0.1900  1 Os 2.80, 2 Cl 2.96

formation energy from raw total energies = -865 meV/atom
crystal system = monoclinic

[3]
First-principles (GGA-PBE) data for Tm2Zn3Hg2 after structural relaxation, as listed in Alexandria.

Cell: 3.3213 3.4215 13.2651 Å, 97.41 90.00 90.00°
Last column: nearest neighbours and their distance in Å.
Fractional positions:
Hg1 0.5000 0.7033 0.4066  4 Hg 2.99-3.32, 4 Tm 3.16
Tm1 0.0000 0.8754 0.7508  5 Zn 3.03-3.28, 4 Hg 3.16, 2 Tm 3.32
Zn1 0.0000 0.0000 0.0000  8 Zn 2.77
Tm2 0.0000 0.1246 0.2492  5 Zn 3.03-3.28, 4 Hg 3.16, 2 Tm 3.32
Zn2 0.5000 0.4464 0.8929  5 Zn 2.77-2.82, 4 Tm 3.03
Hg2 0.5000 0.2967 0.5934  4 Hg 2.99-3.32, 4 Tm 3.16
Zn3 0.5000 0.5536 0.1071  5 Zn 2.77-2.82, 4 Tm 3.03

crystal system = orthorhombic
calculated formation energy = -192 meV/atom

[4]
First-principles (GGA-PBE) data for Sr2TcPdO6 after structural relaxation, as listed in Alexandria.

Cell: 5.4418 5.2176 5.9539 Å, 70.88 62.93 90.04°
Last column: nearest neighbours and their distance in Å.
Fractional positions:
O1 0.3180 0.8133 0.8654  1 Tc 1.96, 1 Pd 2.04
O2 0.1823 0.1879 0.1352  1 Tc 1.96, 1 Pd 2.04
Pd1 0.5000 0.5000 0.0000  4 O 2.04
Tc1 0.0000 0.0000 0.0000  6 O 1.90-1.96
Sr1 0.7323 0.2152 0.5359  5 O 2.45-2.58
O3 0.6819 0.1867 0.1346  1 Tc 1.96, 1 Pd 2.04
O4 0.8241 0.7195 0.3528  1 Tc 1.90
O5 0.1759 0.2805 0.6472  1 Tc 1.90
Sr2 0.2677 0.7848 0.4641  5 O 2.45-2.58
O6 0.8177 0.8121 0.8648  1 Tc 1.96, 1 Pd 2.04

formation energy from raw total energies = -1820 meV/atom
crystal system = triclinic

[5]
First-principles (GGA-PBE) data for YGaSb2 after structural relaxation, as listed in Alexandria.

Cell: 4.1177 4.1177 7.8714 Å, 74.84 74.84 60.00°
Last column: nearest neighbours and their distance in Å.
Fractional positions:
Ga1 0.0000 0.0000 0.0000  6 Sb 2.93
Y1 0.5000 0.5000 0.5000  6 Sb 3.13
Sb1 0.2570 0.2570 0.2290  3 Ga 2.93, 3 Y 3.13
Sb2 0.7430 0.7430 0.7710  3 Ga 2.93, 3 Y 3.13

formation energy from raw total energies = -349 meV/atom
crystal system = trigonal

[6]
First-principles (GGA-PBE) data for InBiRh after structural relaxation, as listed in Alexandria.

Cell: 3.3019 3.3019 6.6356 Å, 104.41 104.41 90.00°
Last column: nearest neighbours and their distance in Å.
Fractional positions:
Bi1 0.0288 0.0288 0.0577  4 Rh 2.92
Rh1 0.6705 0.6705 0.3409  4 In 2.84, 4 Bi 2.92
In1 0.3007 0.3007 0.6014  4 Rh 2.84

crystal system = tetragonal
calculated formation energy = -110 meV/atom

[7]
First-principles (GGA-PBE) data for Ga2PPb after structural relaxation, as listed in Alexandria.

Cell: 4.9544 4.9544 4.9544 Å, 60.00 60.00 60.00°
Last column: nearest neighbours and their distance in Å.
Fractional positions:
Ga1 0.2500 0.2500 0.2500  4 Pb 3.03, 4 P 3.03
Pb1 0.5000 0.5000 0.5000  8 Ga 3.03
P1 0.0000 0.0000 0.0000  8 Ga 3.03
Ga2 0.7500 0.7500 0.7500  4 P 3.03, 4 Pb 3.03

crystal system = cubic
calculated formation energy = 326 meV/atom

[8]
First-principles (GGA-PBE) data for Ba2BeAlSb after structural relaxation, as listed in Alexandria.

Cell: 6.3817 5.2160 6.3817 Å, 90.00 90.00 90.00°
Last column: nearest neighbours and their distance in Å.
Fractional positions:
Ba1 0.5000 0.0000 0.0000  2 Al 3.19
Sb1 0.0000 0.5000 0.0000  2 Al 2.61
Ba2 0.0000 0.0000 0.5000  2 Al 3.19
Al1 0.0000 0.0000 0.0000  2 Sb 2.61
Be1 0.5000 0.5000 0.5000  8 Ba 4.12, 4 Sb 4.51

formation energy from raw total energies = 457 meV/atom
crystal system = tetragonal

[9]
First-principles (GGA-PBE) data for La2Cr2C2N after structural relaxation, as listed in Alexandria.

Cell: 3.3971 5.5118 6.1082 Å, 69.71 73.85 72.05°
Last column: nearest neighbours and their distance in Å.
Fractional positions:
Cr1 0.8024 0.3186 0.0766  1 N 1.85, 3 C 2.00-2.05
C1 0.1947 0.3765 0.2341  3 Cr 2.00-2.05
N1 0.0000 0.0000 0.0000  2 Cr 1.85
La1 0.5708 0.1938 0.6645  2 N 2.58, 1 C 2.88
Cr2 0.1976 0.6814 0.9234  1 N 1.85, 3 C 2.00-2.05
La2 0.4292 0.8062 0.3355  2 N 2.58, 1 C 2.88
C2 0.8053 0.6235 0.7659  3 Cr 2.00-2.05

formation energy from raw total energies = -455 meV/atom
crystal system = monoclinic

[10]
First-principles (GGA-PBE) data for Rb2PmScS4 after structural relaxation, as listed in Alexandria.

Cell: 4.0417 6.9908 8.0114 Å, 106.91 90.00 90.00°
Last column: nearest neighbours and their distance in Å.
Fractional positions:
S1 0.0000 0.7486 0.1925  1 Sc 2.65, 2 Pm 2.81
Sc1 0.0000 0.0000 0.0000  6 S 2.65-2.69
Pm1 0.5000 0.5000 0.0000  6 S 2.81-2.83
Rb1 0.5000 0.0000 0.5000  6 S 3.27
S2 0.0000 0.2514 0.8075  1 Sc 2.65, 2 Pm 2.81
Rb2 0.0000 0.5000 0.5000  6 S 3.39-3.40
S3 0.5000 0.7871 0.8141  2 Sc 2.69, 1 Pm 2.83
S4 0.5000 0.2129 0.1859  2 Sc 2.69, 1 Pm 2.83

formation energy from raw total energies = -1751 meV/atom
crystal system = monoclinic

[11]
First-principles (GGA-PBE) data for Ho3Th2Sc4 after structural relaxation, as listed in Alexandria.

Cell: 5.7677 10.7414 10.7414 Å, 62.83 64.19 64.19°
Last column: nearest neighbours and their distance in Å.
Fractional positions:
Sc1 0.0628 0.8272 0.0742  3 Sc 3.10-3.45, 4 Ho 3.20-3.35, 1 Th 3.28
Ho1 0.2810 0.2753 0.0480  8 Sc 3.20-3.51, 2 Th 3.42-3.45
Sc2 0.3831 0.5941 0.8659  2 Sc 3.14-3.49, 4 Ho 3.25-3.42, 3 Th 3.33-3.43
Ho2 0.7810 0.0480 0.2753  8 Sc 3.20-3.51, 2 Th 3.42-3.45
Th1 0.5533 0.7485 0.4917  4 Sc 3.28-3.43, 5 Ho 3.41-3.46
Th2 0.4467 0.2515 0.5083  4 Sc 3.28-3.43, 5 Ho 3.41-3.46
Sc3 0.8831 0.8659 0.5941  2 Sc 3.14-3.49, 4 Ho 3.25-3.42, 3 Th 3.33-3.43
Sc4 0.4372 0.9258 0.1728  3 Sc 3.10-3.45, 4 Ho 3.20-3.35, 1 Th 3.28
Ho3 0.2190 0.9520 0.7247  8 Sc 3.20-3.51, 2 Th 3.42-3.45
Sc5 0.5628 0.0742 0.8272  3 Sc 3.10-3.45, 4 Ho 3.20-3.35, 1 Th 3.28
Th3 0.0533 0.4917 0.7485  4 Sc 3.28-3.43, 5 Ho 3.41-3.46
Ho4 0.7500 0.3756 0.6244  4 Sc 3.31-3.63, 6 Th 3.41-3.46
Ho5 0.2500 0.6244 0.3756  4 Sc 3.31-3.63, 6 Th 3.41-3.46
Sc6 0.6169 0.4059 0.1341  2 Sc 3.14-3.49, 4 Ho 3.25-3.42, 3 Th 3.33-3.43
Sc7 0.1169 0.1341 0.4059  2 Sc 3.14-3.49, 4 Ho 3.25-3.42, 3 Th 3.33-3.43
Th4 0.9467 0.5083 0.2515  4 Sc 3.28-3.43, 5 Ho 3.41-3.46
Sc8 0.9372 0.1728 0.9258  3 Sc 3.10-3.45, 4 Ho 3.20-3.35, 1 Th 3.28
Ho6 0.7190 0.7247 0.9520  8 Sc 3.20-3.51, 2 Th 3.42-3.45

crystal system = monoclinic
calculated formation energy = 113 meV/atom

[12]
First-principles (GGA-PBE) data for Y3PSe after structural relaxation, as listed in Alexandria.

Cell: 5.2522 5.2522 5.2522 Å, 90.00 90.00 90.00°
Last column: nearest neighbours and their distance in Å.
Fractional positions:
Y1 0.5000 0.0000 0.0000  2 P 2.63
P1 0.0000 0.0000 0.0000  6 Y 2.63
Y2 0.0000 0.0000 0.5000  2 P 2.63
Se1 0.5000 0.5000 0.5000  12 Y 3.71
Y3 0.0000 0.5000 0.0000  2 P 2.63

formation energy from raw total energies = -651 meV/atom
crystal system = cubic

[13]
First-principles (GGA-PBE) data for TaCuSeN2 after structural relaxation, as listed in Alexandria.

Cell: 3.9344 3.9344 5.5505 Å, 90.00 90.00 90.00°
Last column: nearest neighbours and their distance in Å.
Fractional positions:
N1 0.5000 0.0000 0.0000  2 Ta 1.97
Ta1 0.0000 0.0000 0.0000  4 N 1.97
N2 0.0000 0.5000 0.0000  2 Ta 1.97
Cu1 0.5000 0.5000 0.5000  4 Se 2.78
Se1 0.0000 0.0000 0.5000  2 Ta 2.78, 4 Cu 2.78

formation energy from raw total energies = 334 meV/atom
crystal system = tetragonal